Record 1
Computed, not measured: a crystal of CaLa2Y relaxed with PBEsol at the meta-GGA SCAN level of DFT.

Values from the calculation:
Formation energy   224 meV/atom
Theoretical density   4936 kg/m3
ΔE to the lowest computed polymorph   165 meV per atom
Fermi-level density of states   1.508 states/eV per atom

Cell: 3.494 3.494 13.103 Å, 82.34 82.34 60.00°
Last column: magnetic moment on the atom in μB.
Fractional coordinates of all 4 atoms:
Y1 0.500 0.500 0.500  0.10
Ca1 0.000 0.000 0.000  0.04
La1 0.582 0.582 0.253  0.20
La2 0.418 0.418 0.747  0.20


Record 2
Computed, not measured: a crystal of CaLa2Y relaxed with PBEsol at the meta-GGA SCAN level of DFT.

Values from the calculation:
Formation energy   62 meV/atom
Theoretical density   4880 kg/m3
ΔE to the lowest computed polymorph   3 meV per atom
Fermi-level density of states   1.345 states/eV per atom

Cell: 3.659 3.659 10.339 Å, 90.00 90.00 90.00°
Last column: magnetic moment on the atom in μB.
Fractional coordinates of all 4 atoms:
La1 0.500 0.500 0.254  0.03
La2 0.000 0.000 0.020  -0.08
Ca1 0.500 0.500 0.742  0.02
Y1 0.000 0.000 0.484  0.21